# 1
This record from the Alexandria database describes crystalline Mn3Pd2Au3 at its relaxed geometry. The functional is GGA-PBE.

```
Mn3Pd2Au3
1.0
-0.3013 2.8382 -0.5431
1.8524 -1.1240 -6.9014
-6.9469 -0.3577 1.9845
Mn Au Pd
3 3 2
Cartesian
-2.1465 0.8386 -2.1979
-4.3759 1.2015 0.9355
0.9760 0.7354 -4.4692
-3.8934 -1.1324 -3.7577
0.4367 -0.2650 -1.6271
-1.6378 -0.0843 0.4679
-4.0138 -0.6131 -0.9775
-1.0807 -0.8686 -3.9395
```

The calculation puts the total magnetization at 12.93 μB/f.u. The density comes out at 12.22 Mg/m³. Its energy relative to the elements is -0.1107 eV per atom.



# 2
This record from the Alexandria database describes crystalline Mn4Pd3Au8 at its relaxed geometry. The functional is GGA-PBE.

```
Mn4Pd3Au8
1.0
-6.5143 5.5168 -2.8790
-7.4712 1.0975 4.9129
-1.4947 7.8052 4.2433
Mn Au Pd
8 16 6
Cartesian
-4.4829 4.4513 4.5781
-3.7356 0.5487 2.4565
-4.0045 6.6610 0.6821
-6.9928 3.3071 1.0170
-3.2572 2.7584 -1.4395
-7.7401 7.2097 3.1386
0.0000 0.0000 0.0000
-0.7474 3.9026 2.1216
-9.8947 12.0090 3.1151
-10.3505 9.9037 6.8269
-9.6269 5.8959 4.8905
-2.0265 1.8876 0.8217
-6.3547 6.2079 5.4693
-12.7417 8.8136 3.4341
-13.4538 12.5318 5.4555
-5.5855 2.4104 3.1621
-6.4956 9.4104 4.5396
-5.8533 8.5234 1.3867
-9.1256 8.2114 0.8079
-9.7678 9.0984 3.9608
-5.1297 4.5156 -0.5498
-5.7124 5.3209 2.3164
-2.7385 5.6058 2.8431
-8.9847 5.0089 1.7376
-4.6178 7.5074 3.6909
-7.1273 6.3633 0.1302
-10.8624 6.9120 2.5863
-7.6057 4.1539 4.0257
-7.8746 10.2654 2.2515
-8.3529 8.0560 6.1470
```

The calculation puts the total magnetization at 17.10 μB/f.u. The density comes out at 13.58 Mg/m³. Its energy relative to the elements is -0.0815 eV per atom.



# 3
This record from the Alexandria database describes crystalline MnPdAu3 at its relaxed geometry. The functional is GGA-PBE.

```
MnPdAu3
1.0
5.1981 0.0000 1.1147
0.0000 7.4066 0.0000
1.4976 0.0000 5.0940
Au Mn Pd
6 2 2
Cartesian
5.4854 3.2197 5.2130
1.2103 6.9230 0.9956
4.7774 1.8516 2.6898
5.4854 0.4836 5.2130
1.2103 4.1869 0.9956
1.9183 5.5549 3.5188
2.2144 1.8516 2.1081
4.4812 5.5549 4.1005
3.8069 5.5549 1.6028
2.8888 1.8516 4.6059
```

For the excess energy over the best structure of this formula in the dataset, the calculation gives 0.052 eV per atom. The calculation puts the total magnetization at 4.57 μB/f.u. The density comes out at 13.60 Mg/m³. Its energy relative to the elements is 0.0611 eV per atom.



# 4
This record from the Alexandria database describes crystalline MnPd4Au7 at its relaxed geometry. The functional is GGA-PBE.

```
MnPd4Au7
1.0
-1.3437 -4.6472 -1.1966
1.5265 -4.9934 7.3016
-5.4572 -1.3776 1.1015
Au Pd Mn
7 4 1
Cartesian
-0.7049 -3.7091 4.8197
-2.9806 -2.0476 0.9223
-2.2938 -8.9706 6.2842
-1.4636 -5.6392 2.7905
-4.5696 -7.3091 2.3868
-3.8108 -5.3790 4.4160
-0.6719 -2.3236 -0.5983
-1.4987 -6.3436 5.5659
-0.6742 -3.0174 2.0988
-3.7757 -4.6746 1.6406
-4.6002 -8.0008 5.1078
0.0000 0.0000 0.0000
```

For the excess energy over the best structure of this formula in the dataset, the calculation gives 0.229 eV per atom. The calculation puts the total magnetization at 4.82 μB/f.u. The density comes out at 13.91 Mg/m³. Its energy relative to the elements is 0.1220 eV per atom.



| no. | VASP energy (eV/f.u.) |
| --- | --- |
| 1 | -48.61 |
| 2 | -79.70 |
| 3 | -23.89 |
| 4 | -51.42 |